(1)
CaSm2CdO PBE optimized geometry; electronic total energy = -23.65 eV/f.u.; symmetry = P4/mmm; DOS at the Fermi energy = 4.3 states/eV per cell; ΔE_f (raw) = -1.268 eV per atom
1.0
-1.845 1.404 4.255
-4.175 -2.433 -1.008
1.844 -4.050 2.136
Ca Sm Cd O
1 2 1 1
direct
0.500 0.000 0.000 Ca
0.000 0.000 0.500 Sm
0.000 0.500 0.000 Sm
0.500 0.500 0.500 Cd
0.000 0.000 0.000 O

(2)
Ca2CdTcO6 PBE optimized geometry; electronic total energy = -63.86 eV/f.u.; symmetry = P4mm; ΔE_f (raw) = -1.883 eV per atom
1.0
5.227 0.000 0.000
0.000 5.416 0.000
0.000 0.000 5.416
Ca Cd Tc O
2 1 1 6
direct
0.989 0.500 0.000 Ca
0.989 0.000 0.500 Ca
0.539 0.500 0.500 Cd
0.598 0.000 0.000 Tc
0.734 0.229 0.229 O
0.734 0.229 0.771 O
0.138 0.500 0.500 O
0.260 0.000 0.000 O
0.734 0.771 0.771 O
0.734 0.771 0.229 O

(3)
CaCd2TeO6 PBE optimized geometry; electronic total energy = -52.11 eV/f.u.; symmetry = P2_1/c; ΔE_f (raw) = -1.539 eV per atom
1.0
-1.895 -4.922 -1.944
5.409 -2.001 -0.207
-0.716 -2.730 7.688
Ca Cd Te O
2 4 2 12
direct
0.500 0.000 0.000 Ca
0.000 0.500 0.500 Ca
0.009 0.959 0.261 Cd
0.509 0.541 0.761 Cd
0.991 0.041 0.739 Cd
0.491 0.459 0.239 Cd
0.500 0.000 0.500 Te
0.000 0.500 0.000 Te
0.287 0.674 0.046 O
0.787 0.826 0.546 O
0.713 0.326 0.954 O
0.213 0.174 0.454 O
0.335 0.723 0.417 O
0.835 0.777 0.917 O
0.665 0.277 0.583 O
0.165 0.223 0.083 O
0.883 0.579 0.221 O
0.383 0.921 0.721 O
0.117 0.421 0.779 O
0.617 0.079 0.279 O

(4)
Ca2CdTeO6 PBE optimized geometry; electronic total energy = -57.24 eV/f.u.; symmetry = R3; DOS at the Fermi energy = 0.0 states/eV per cell; ΔE_f (raw) = -1.943 eV per atom
1.0
5.732 0.000 0.000
2.866 4.964 0.000
2.866 1.655 4.845
Ca Cd Te O
2 1 1 6
direct
0.538 0.538 0.387 Ca
0.031 0.031 0.906 Ca
0.806 0.806 0.583 Cd
0.320 0.320 0.040 Te
0.565 0.198 0.249 O
0.198 0.988 0.249 O
0.988 0.565 0.249 O
0.432 0.660 0.784 O
0.660 0.124 0.784 O
0.124 0.432 0.784 O

(5)
CaTi2CdO6 PBE optimized geometry; electronic total energy = -75.26 eV/f.u.; symmetry = C2/c; DOS at the Fermi energy = 0.0 states/eV per cell; ΔE_f (raw) = -2.681 eV per atom
1.0
6.127 0.011 0.012
1.975 6.998 0.391
1.975 0.131 7.008
Ca Ti Cd O
2 4 2 12
direct
0.250 0.283 0.717 Ca
0.750 0.717 0.283 Ca
0.270 0.797 0.617 Ti
0.230 0.383 0.203 Ti
0.730 0.203 0.383 Ti
0.770 0.617 0.797 Ti
0.250 0.912 0.088 Cd
0.750 0.088 0.912 Cd
0.157 0.987 0.782 O
0.343 0.218 0.013 O
0.843 0.013 0.218 O
0.657 0.782 0.987 O
0.338 0.888 0.376 O
0.162 0.624 0.112 O
0.662 0.112 0.624 O
0.838 0.376 0.888 O
0.071 0.631 0.656 O
0.429 0.344 0.369 O
0.929 0.369 0.344 O
0.571 0.656 0.631 O

(6)
Ca2TlCdO5 PBE optimized geometry; electronic total energy = -46.44 eV/f.u.; symmetry = Cmc2_1; DOS at the Fermi energy = 7.0 states/eV per cell; ΔE_f (raw) = -1.596 eV per atom
1.0
-0.552 1.725 2.997
-6.104 -2.842 -1.535
2.961 -9.653 6.101
Ca Tl Cd O
4 2 2 10
direct
0.842 0.684 0.756 Ca
0.075 0.151 0.668 Ca
0.158 0.316 0.256 Ca
0.925 0.849 0.168 Ca
0.548 0.095 0.943 Tl
0.452 0.905 0.443 Tl
0.750 0.501 0.516 Cd
0.250 0.499 0.016 Cd
0.408 0.815 0.043 O
0.716 0.433 0.895 O
0.479 0.958 0.776 O
0.250 0.500 0.670 O
0.915 0.829 0.557 O
0.592 0.185 0.543 O
0.284 0.567 0.395 O
0.521 0.042 0.276 O
0.750 0.500 0.170 O
0.085 0.171 0.057 O

The lowest electronic total energy belongs to which entry? CaTi2CdO6

What is the formula in the first record? CaSm2CdO

Please write out number 4 again, unchanged.
Ca2CdTeO6 PBE optimized geometry; electronic total energy = -57.24 eV/f.u.; symmetry = R3; DOS at the Fermi energy = 0.0 states/eV per cell; ΔE_f (raw) = -1.943 eV per atom
1.0
5.732 0.000 0.000
2.866 4.964 0.000
2.866 1.655 4.845
Ca Cd Te O
2 1 1 6
direct
0.538 0.538 0.387 Ca
0.031 0.031 0.906 Ca
0.806 0.806 0.583 Cd
0.320 0.320 0.040 Te
0.565 0.198 0.249 O
0.198 0.988 0.249 O
0.988 0.565 0.249 O
0.432 0.660 0.784 O
0.660 0.124 0.784 O
0.124 0.432 0.784 O